Material: Na2AgWN
Method: DFT, GGA-PBE
State: relaxed

E = -3.19 eV per atom
Volume = 30.7 Å³ per atom
Formation energy without anion corrections = 2.165 eV/atom
DOS(E_F) = 0.72 states/eV per atom

a = 5.383 Å, b = 5.383 Å, c = 5.300 Å
α = 90.00°, β = 90.00°, γ = 90.00°
Space group P4/mmm (No. 123)
Inequivalent atoms, fractional coordinates:
Na (0.000, 0.500, 0.000) x2
Ag (0.000, 0.000, 0.000) x1
W (0.000, 0.000, 0.500) x1
N (0.500, 0.500, 0.500) x1